Below is Ac2La2ThRh4 after structural relaxation, with properties calculated at the PBE level.

Results
V = 241.3 Å³/cell
E_form = -684 meV per atom
VASP energy = -6.78 eV per atom

Cell: 9.420 9.420 6.509 Å, 99.28 99.28 25.06°
Atoms (fractional coordinates):
Ac (0.117, 0.117, 0.066)
Ac (0.883, 0.883, 0.934)
La (0.323, 0.323, 0.391)
La (0.677, 0.677, 0.609)
Th (0.000, 0.000, 0.500)
Rh (0.259, 0.259, 0.832)
Rh (0.483, 0.483, 0.208)
Rh (0.517, 0.517, 0.792)
Rh (0.741, 0.741, 0.168)